Entry from Alexandria: CaMn2Fe after structural relaxation (PBE-GGA).

Properties
**Energy of formation from the pure elements**: 0.34 eV per atom
**Calculated volume**: 18.45 Å³/atom
**Energy relative to the lowest polymorph listed for this composition**: 0.0 meV/atom

```
4
Lattice="3.937 -0.792 0.407 2.637 3.029 0.407 1.612 0.548 5.467" Properties=species:S:1:pos:R:3 pbc="T T T"
Ca 4.086 1.390 3.182
Fe 6.039 2.055 5.608
Mn 1.632 0.555 5.284
Mn 2.131 0.725 0.816
```

***

Entry from Alexandria: Sc2CdB2Ir5 after structural relaxation (PBE-GGA).

Properties
**Energy of formation from the pure elements**: -0.64 eV per atom
**Calculated volume**: 14.31 Å³/atom

```
20
Lattice="3.081 0.000 0.000 0.000 9.639 0.000 0.000 0.000 9.639" Properties=species:S:1:pos:R:3 pbc="T T T"
Ir 1.540 2.174 0.670
Ir 1.540 2.646 5.490
Ir 1.540 4.149 2.646
Ir 1.540 8.968 2.174
Ir 1.540 0.670 7.465
Ir 1.540 5.490 6.993
Ir 1.540 7.465 8.968
Ir 1.540 4.819 0.000
Ir 1.540 6.993 4.149
Ir 1.540 0.000 4.819
Sc 0.000 7.929 6.529
Sc 0.000 6.529 1.709
Sc 0.000 1.709 3.110
Sc 0.000 3.110 7.929
B 0.000 3.638 1.181
B 0.000 1.181 6.001
B 0.000 6.001 8.457
B 0.000 8.457 3.638
Cd 0.000 0.000 0.000
Cd 0.000 4.819 4.819
```

***

Entry from Alexandria: Zn2FeIr after structural relaxation (PBE-GGA).

Properties
**Energy of formation from the pure elements**: -0.02 eV per atom
**Calculated volume**: 13.47 Å³/atom

```
4
Lattice="3.039 0.000 0.000 0.000 3.039 0.000 0.000 0.000 5.836" Properties=species:S:1:pos:R:3 pbc="T T T"
Fe 1.519 1.519 1.459
Ir 1.519 1.519 4.377
Zn 0.000 0.000 0.019
Zn 0.000 0.000 2.899
```

***

Entry from Alexandria: AlOsAu2 after structural relaxation (PBE-GGA).

Properties
**Energy of formation from the pure elements**: 0.12 eV per atom
**Calculated volume**: 15.99 Å³/atom

```
4
Lattice="-3.427 -2.148 0.854 1.797 -1.637 3.093 -1.269 2.936 2.291" Properties=species:S:1:pos:R:3 pbc="T T T"
Au 0.264 0.649 2.692
Au 0.000 0.000 0.000
Al -2.348 0.394 1.572
Os -0.815 -1.892 1.974
```

***

Entry from Alexandria: BeMoBr2 after structural relaxation (PBE-GGA).

Properties
**Calculated volume**: 20.09 Å³/atom
**Energy relative to the lowest polymorph listed for this composition**: 855.9 meV/atom
**E_form (uncorrected)**: 0.884 eV/atom

```
4
Lattice="5.428 -0.021 -0.022 -1.219 5.289 -0.022 1.256 1.572 2.788" Properties=species:S:1:pos:R:3 pbc="T T T"
Mo 3.342 0.775 1.383
Br 0.000 0.000 0.000
Br 2.104 2.634 -0.022
Be 0.018 3.431 1.383
```

***

Entry from Alexandria: Ca3SnHg12 after structural relaxation (PBE-GGA).

Properties
**Energy of formation from the pure elements**: -0.28 eV per atom
**Calculated volume**: 25.78 Å³/atom

```
16
Lattice="4.676 0.000 0.000 0.000 4.676 0.000 0.000 0.000 18.861" Properties=species:S:1:pos:R:3 pbc="T T T"
Ca 0.000 0.000 9.430
Ca 0.000 0.000 4.644
Ca 0.000 0.000 14.216
Hg 2.338 0.000 11.789
Hg 2.338 2.338 4.759
Hg 2.338 2.338 14.102
Hg 2.338 2.338 9.430
Hg 2.338 2.338 0.000
Hg 2.338 0.000 16.492
Hg 2.338 0.000 7.072
Hg 2.338 0.000 2.369
Hg 0.000 2.338 16.492
Hg 0.000 2.338 7.072
Hg 0.000 2.338 11.789
Hg 0.000 2.338 2.369
Sn 0.000 0.000 0.000
```

***

Entry from Alexandria: LaGa3Fe after structural relaxation (PBE-GGA).

Properties
**Energy of formation from the pure elements**: -0.45 eV per atom
**Calculated volume**: 19.19 Å³/atom

```
5
Lattice="-3.493 -2.844 0.822 1.946 -3.163 -2.677 2.231 -1.693 3.622" Properties=species:S:1:pos:R:3 pbc="T T T"
La 0.342 -3.850 0.883
Fe 0.000 0.000 0.000
Ga 0.973 -1.582 -1.339
Ga -1.746 -1.422 0.411
Ga 1.115 -0.846 1.811
```

***

Entry from Alexandria: As3PPd after structural relaxation (PBE-GGA).

Properties
**Energy of formation from the pure elements**: 0.74 eV per atom
**Calculated volume**: 20.55 Å³/atom
**Energy relative to the lowest polymorph listed for this composition**: 0.0 meV/atom

```
5
Lattice="4.684 0.000 0.000 0.000 4.684 0.000 0.000 0.000 4.684" Properties=species:S:1:pos:R:3 pbc="T T T"
Pd 2.342 2.342 2.342
P 0.000 0.000 0.000
As 0.000 2.342 0.000
As 2.342 0.000 0.000
As 0.000 0.000 2.342
```

***

Entry from Alexandria: ScCoH2 after structural relaxation (PBE-GGA).

Properties
**Calculated volume**: 8.88 Å³/atom
**Energy relative to the lowest polymorph listed for this composition**: 436.7 meV/atom

```
4
Lattice="2.107 0.172 3.024 -1.545 -0.243 3.341 0.521 -3.017 2.059" Properties=species:S:1:pos:R:3 pbc="T T T"
Sc 0.000 0.000 0.000
H 0.271 -0.772 2.106
H 0.812 -2.316 6.318
Co 0.541 -1.544 4.212
```

***

Entry from Alexandria: Zr12Cd3Hg after structural relaxation (PBE-GGA).

Properties
**Energy of formation from the pure elements**: -0.09 eV per atom
**Calculated volume**: 22.16 Å³/atom

```
16
Lattice="-4.434 0.393 -0.174 -0.381 -2.759 3.477 0.799 13.938 11.147" Properties=species:S:1:pos:R:3 pbc="T T T"
Cd 0.200 3.480 2.784
Cd 0.600 10.458 8.364
Cd 0.400 6.969 5.574
Zr -1.917 5.422 4.092
Zr -1.517 12.396 9.670
Zr 0.109 3.846 5.918
Zr -0.091 0.359 3.129
Zr -2.208 2.294 4.432
Zr -2.117 1.935 1.304
Zr 0.309 7.333 8.707
Zr -2.407 -1.183 1.652
Zr 0.509 10.820 11.495
Zr -2.008 5.786 7.225
Zr -1.808 9.279 10.018
Zr -1.717 8.909 6.881
Hg 0.000 0.000 0.000
```

***

Entry from Alexandria: Al2CuSi2 after structural relaxation (PBE-GGA).

Properties
**Calculated volume**: 17.38 Å³/atom
**Energy relative to the lowest polymorph listed for this composition**: 227.0 meV/atom
**E_form (uncorrected)**: 0.315 eV/atom

```
5
Lattice="-2.074 2.074 5.049 2.074 -2.074 5.049 2.074 2.074 -5.049" Properties=species:S:1:pos:R:3 pbc="T T T"
Cu 0.000 0.000 0.000
Al 0.000 2.074 2.524
Al 2.074 0.000 2.524
Si 0.000 0.000 6.176
Si 0.000 0.000 3.921
```

***

Entry from Alexandria: Mg2CrCu after structural relaxation (PBE-GGA).

Properties
**Energy of formation from the pure elements**: 0.50 eV per atom
**Calculated volume**: 18.80 Å³/atom
**Energy relative to the lowest polymorph listed for this composition**: 278.0 meV/atom

```
8
Lattice="7.379 0.000 0.000 0.000 7.379 0.000 3.689 3.689 2.763" Properties=species:S:1:pos:R:3 pbc="T T T"
Cu 7.379 3.689 1.381
Cu 0.000 0.000 0.000
Cr 3.689 3.689 0.000
Cr 3.689 7.379 1.381
Mg 5.789 1.845 0.691
Mg 1.590 5.534 0.691
Mg 5.534 5.279 2.072
Mg 9.224 9.479 2.072
```

***

Entry from Alexandria: ZnPdNO2 after structural relaxation (PBE-GGA).

Properties
**Calculated volume**: 12.55 Å³/atom
**E_form (uncorrected)**: 0.634 eV/atom

```
5
Lattice="-0.698 -3.971 -0.934 0.148 -0.971 4.021 -3.607 0.571 0.271" Properties=species:S:1:pos:R:3 pbc="T T T"
O 0.074 -0.486 2.010
O -0.349 -1.986 -0.467
N -1.803 0.285 0.135
Zn -2.079 -2.186 1.679
Pd 0.000 0.000 0.000
```

***

Entry from Alexandria: KAsW2 after structural relaxation (PBE-GGA).

Properties
**Energy of formation from the pure elements**: 1.50 eV per atom
**Calculated volume**: 20.10 Å³/atom

```
4
Lattice="6.114 -0.046 0.000 -3.525 4.995 0.000 0.000 0.000 2.646" Properties=species:S:1:pos:R:3 pbc="T T T"
W 1.294 2.475 0.000
W 0.000 0.000 0.000
As 3.057 -0.023 1.323
K -1.762 2.498 1.323
```

***

Entry from Alexandria: Fe5Ni3Ir2 after structural relaxation (PBE-GGA).

Properties
**Energy of formation from the pure elements**: 0.16 eV per atom
**Calculated volume**: 12.57 Å³/atom

```
10
Lattice="3.882 0.000 0.861 2.090 4.271 -0.239 0.209 -3.684 8.236" Properties=species:S:1:pos:R:3 pbc="T T T"
Ir 4.592 0.878 6.843
Ir 1.589 -0.291 2.016
Ni 4.332 -1.528 8.013
Ni 1.849 2.115 0.845
Ni 3.091 0.293 4.429
Fe 0.000 0.000 0.000
Fe 3.524 1.616 2.474
Fe 5.134 1.688 4.398
Fe 1.047 -1.101 4.460
Fe 2.657 -1.029 6.385
```

***

Entry from Alexandria: Pr2DySe3 after structural relaxation (PBE-GGA).

Properties
**Calculated volume**: 26.25 Å³/atom
**Energy relative to the lowest polymorph listed for this composition**: 0.0 meV/atom
**E_form (uncorrected)**: -1.815 eV/atom

```
24
Lattice="-0.773 6.233 3.742 -3.393 0.699 -6.439 -8.419 -7.808 6.411" Properties=species:S:1:pos:R:3 pbc="T T T"
Pr -8.817 -3.645 4.250
Pr -10.847 -1.208 6.914
Pr -7.293 1.312 1.163
Pr -3.953 1.642 3.590
Pr -7.322 0.249 5.215
Pr -0.428 3.100 1.891
Pr -5.292 -2.188 2.551
Pr -3.768 2.770 -0.536
Se -9.394 -4.965 1.568
Se -8.143 -1.171 2.649
Se -4.532 1.256 -3.065
Se -7.925 -0.194 -1.321
Se -6.581 3.855 -0.319
Se -5.972 -4.665 4.155
Se -0.978 1.628 -0.633
Se -5.969 -3.449 -0.055
Se -4.473 0.229 0.944
Se -3.247 4.183 2.110
Se -3.188 5.305 -2.063
Se -7.997 -2.225 6.816
Dy -10.844 -0.156 2.875
Dy -5.207 -1.102 -1.527
Dy -8.688 -2.541 0.151
Dy -1.741 -0.720 0.839
```

***

Entry from Alexandria: BaBi4Pt2 after structural relaxation (PBE-GGA).

Properties
**Energy of formation from the pure elements**: -0.42 eV per atom
**Calculated volume**: 27.99 Å³/atom
**Energy relative to the lowest polymorph listed for this composition**: 0.0 meV/atom

```
28
Lattice="-0.293 -4.375 -1.665 4.323 2.113 -6.315 17.601 -5.111 10.337" Properties=species:S:1:pos:R:3 pbc="T T T"
Bi 11.831 -3.893 -1.763
Bi 6.760 -4.269 0.118
Bi 17.238 -5.717 2.081
Bi 16.388 -5.831 9.139
Bi 6.578 -0.301 -3.670
Bi 5.242 -1.542 -6.782
Bi 9.639 -2.273 0.973
Bi 14.871 -3.105 2.240
Bi 9.800 -3.481 4.121
Bi 19.702 -6.903 4.763
Bi 8.161 -3.297 -2.684
Bi 4.393 -1.656 0.276
Bi 15.053 -7.072 6.027
Bi 1.929 -0.471 -2.406
Bi 13.470 -4.077 5.041
Bi 11.992 -5.101 1.384
Ba 4.418 -2.939 -2.965
Ba 17.213 -4.435 5.322
Ba 15.367 -4.445 -0.936
Ba 6.264 -2.929 3.293
Pt 18.063 -3.027 1.471
Pt 12.631 -2.285 0.477
Pt 7.189 -1.484 -0.668
Pt 8.999 -5.089 1.880
Pt 17.730 -7.679 7.152
Pt 14.442 -5.889 3.025
Pt 3.568 -4.347 0.886
Pt 3.901 0.306 -4.795
```

***

Entry from Alexandria: BeAgBRu2 after structural relaxation (PBE-GGA).

Properties
**Energy of formation from the pure elements**: 1.32 eV per atom
**Calculated volume**: 13.93 Å³/atom

```
5
Lattice="-0.986 -3.493 1.941 1.368 -2.172 -3.213 3.754 -0.125 1.682" Properties=species:S:1:pos:R:3 pbc="T T T"
B 2.068 -2.895 0.205
Ru 1.877 -0.062 0.841
Ru -0.493 -1.746 0.970
Be 0.000 0.000 0.000
Ag 0.684 -1.086 -1.607
```

***

Entry from Alexandria: TePbAu2 after structural relaxation (PBE-GGA).

Properties
**Calculated volume**: 26.60 Å³/atom
**Energy relative to the lowest polymorph listed for this composition**: 30.0 meV/atom
**E_form (uncorrected)**: -0.018 eV/atom

```
4
Lattice="5.075 0.082 0.150 -2.089 4.851 0.124 0.897 2.393 4.409" Properties=species:S:1:pos:R:3 pbc="T T T"
Au 0.000 0.000 0.000
Au 2.986 1.237 2.280
Te 1.493 2.466 0.137
Pb -0.596 3.622 2.267
```

***

Entry from Alexandria: AcSm2Sc after structural relaxation (PBE-GGA).

Properties
**Energy of formation from the pure elements**: 0.20 eV per atom
**Calculated volume**: 34.26 Å³/atom
**Energy relative to the lowest polymorph listed for this composition**: 130.2 meV/atom

```
4
Lattice="-5.273 -1.342 -1.972 -0.848 -0.817 -5.666 -1.065 -5.314 -2.029" Properties=species:S:1:pos:R:3 pbc="T T T"
Sm -1.796 -1.868 -2.417
Sm -5.389 -5.605 -7.251
Sc -3.593 -3.737 -4.834
Ac 0.000 0.000 0.000
```

***

E_tot, record by record: -6.86, -7.77, -4.98, -5.26, -3.59, -1.13, -4.95, -4.17, -5.02, -6.69, -4.17, -3.73, -4.31, -6.41, -7.58, -5.92, -4.64, -5.04, -3.37, -4.77 eV/atom